First-principles (PBE) data for a relaxed structure of Sc2TlCu, as listed in Alexandria via LeMat-Bulk.

```
Sc2TlCu
1.0
-1.8979 -1.2758 -2.7586
1.9315 -3.0173 0.0666
-4.2918 -2.6550 4.1807
Cu Sc Tl
1 2 1
direct
0.5000 0.5000 0.7675
0.0000 0.0000 0.9669
0.5000 0.5000 0.2519
0.0000 0.0000 0.5137
```

Calculated values
- Raw total energy: -0.17831 hartree per atom
- Magnetization: 0.9 μB per cell
- Formation energy from the elements: -0.071 eV/atom
- SG: P4mm, No. 99
- DOS(E_F): 0.862 states/eV/atom



First-principles (PBE) data for a relaxed structure of CrMo3S, as listed in Alexandria via LeMat-Bulk.

```
CrMo3S
1.0
-1.7912 -3.9748 0.3265
3.2301 -1.6557 -2.4370
2.3392 -0.7572 3.6150
Cr Mo S
1 3 1
direct
0.5000 0.5000 0.5000
0.0000 0.5000 0.0000
0.0000 0.0000 0.5000
0.5000 0.0000 0.0000
0.0000 0.0000 0.0000
```

Calculated values
- Raw total energy: -0.30972 hartree per atom
- Magnetization: 0.0 μB per cell
- Energy relative to the elements, uncorrected: 0.82 eV/atom
- SG: Pm-3m, No. 221
- DOS(E_F): 1.674 states/eV/atom
- Energy above the lowest structure with this stoichiometry: 0 meV per atom



First-principles (PBE) data for a relaxed structure of Ac6Rh3S2Br, as listed in Alexandria via LeMat-Bulk.

```
Ac6Rh3S2Br
1.0
4.2705 0.0000 0.0000
0.0000 9.1987 -0.0731
-2.1353 -3.0669 9.3753
Ac Rh S Br
6 3 2 1
direct
0.3221 0.9249 0.6442
0.6638 0.5903 0.3277
0.6779 0.0751 0.3558
0.9950 0.2775 0.9901
0.0050 0.7225 0.0099
0.3362 0.4097 0.6723
0.5000 0.5000 0.0000
0.8347 0.1706 0.6694
0.1653 0.8294 0.3306
0.8353 0.6726 0.6706
0.1647 0.3274 0.3294
0.5000 0.0000 0.0000
```

Calculated values
- Raw total energy: -0.21870 hartree per atom
- Magnetization: 0.0 μB per cell
- Energy relative to the elements, uncorrected: -1.23 eV/atom
- SG: C2/m, No. 12
- DOS(E_F): 0.570 states/eV/atom